Below is crystalline KPbClF2 at its relaxed geometry, with properties calculated at the PBE level.

Unit cell a=4.796 b=4.796 c=5.902 alpha=90.00 beta=90.00 gamma=90.00
Space group P4/mmm (No. 123)
Symmetry-distinct sites (fractional):
K (0.000, 0.000, 0.000) [1 per cell]
Pb (0.500, 0.500, 0.500) [1 per cell]
Cl (0.500, 0.500, 0.000) [1 per cell]
F (0.000, 0.500, 0.500) [2 per cell]

Results
DOS at the Fermi energy: 0.000 states/eV/atom
Formation energy (no corrections): -2.12 eV/atom
E: -4.20 eV/atom
Calculated density: 3911 kg/m³